Nd2Ni12Ge3Pt | PBE-GGA | optimized geometry

The structure in CIF format:
```
data_Nd2Ni12Ge3Pt
_space_group_name_H-M_alt 'P 1'
_space_group_IT_number 1
_cell_length_a 6.414
_cell_length_b 6.414
_cell_length_c 6.414
_cell_angle_alpha 85.18
_cell_angle_beta 85.18
_cell_angle_gamma 85.18
loop_
_space_group_symop_operation_xyz
'x,y,z'
loop_
_atom_site_label
_atom_site_type_symbol
_atom_site_fract_x
_atom_site_fract_y
_atom_site_fract_z
Nd1 Nd 0.184 0.184 0.184
Nd2 Nd 0.816 0.816 0.816
Ni1 Ni 0.101 0.101 0.621
Ni2 Ni 0.101 0.621 0.101
Ni3 Ni 0.208 0.695 0.695
Ni4 Ni 0.305 0.305 0.792
Ni5 Ni 0.305 0.792 0.305
Ni6 Ni 0.379 0.899 0.899
Ni7 Ni 0.621 0.101 0.101
Ni8 Ni 0.695 0.208 0.695
Ni9 Ni 0.695 0.695 0.208
Ni10 Ni 0.792 0.305 0.305
Ni11 Ni 0.899 0.379 0.899
Ni12 Ni 0.899 0.899 0.379
Ge1 Ge 0.000 0.500 0.500
Ge2 Ge 0.500 0.000 0.500
Ge3 Ge 0.500 0.500 0.000
Pt1 Pt 0.500 0.500 0.500
```

Summary:
- N(E_F) (states/eV per cell) = 20.22
- calculated formation energy (kJ/mol of atoms) = -0.1
- total DFT energy (no corrections) (eV per atom) = -5.4906
- SG = No. 166
- volume (Å³ per cell) = 261.16

***

NdNiGePt3 | PBE-GGA | optimized geometry

The structure in CIF format:
```
data_NdNiGePt3
_space_group_name_H-M_alt 'P 1'
_space_group_IT_number 1
_cell_length_a 6.742
_cell_length_b 6.742
_cell_length_c 5.659
_cell_angle_alpha 90.00
_cell_angle_beta 90.00
_cell_angle_gamma 118.88
loop_
_space_group_symop_operation_xyz
'x,y,z'
loop_
_atom_site_label
_atom_site_type_symbol
_atom_site_fract_x
_atom_site_fract_y
_atom_site_fract_z
Nd1 Nd 0.219 0.781 0.750
Nd2 Nd 0.781 0.219 0.250
Ni1 Ni 0.447 0.553 0.750
Ni2 Ni 0.553 0.447 0.250
Ge1 Ge 0.128 0.872 0.250
Ge2 Ge 0.872 0.128 0.750
Pt1 Pt 0.212 0.212 0.000
Pt2 Pt 0.212 0.212 0.500
Pt3 Pt 0.333 0.667 0.250
Pt4 Pt 0.667 0.333 0.750
Pt5 Pt 0.788 0.788 0.000
Pt6 Pt 0.788 0.788 0.500
```

Summary:
- N(E_F) (states/eV per cell) = 10.79
- calculated formation energy (kJ/mol of atoms) = -50.8
- total DFT energy (no corrections) (eV per atom) = -6.0750
- SG = No. 63
- volume (Å³ per cell) = 225.22

***

Nd2NiGe4Pt3 | PBE-GGA | optimized geometry

The structure in CIF format:
```
data_Nd2NiGe4Pt3
_space_group_name_H-M_alt 'P 1'
_space_group_IT_number 1
_cell_length_a 4.325
_cell_length_b 4.325
_cell_length_c 10.133
_cell_angle_alpha 90.00
_cell_angle_beta 90.00
_cell_angle_gamma 90.00
loop_
_space_group_symop_operation_xyz
'x,y,z'
loop_
_atom_site_label
_atom_site_type_symbol
_atom_site_fract_x
_atom_site_fract_y
_atom_site_fract_z
Nd1 Nd 0.000 0.500 0.245
Nd2 Nd 0.500 0.000 0.755
Ni1 Ni 0.500 0.500 0.000
Ge1 Ge 0.000 0.000 0.500
Ge2 Ge 0.000 0.500 0.876
Ge3 Ge 0.500 0.000 0.124
Ge4 Ge 0.500 0.500 0.500
Pt1 Pt 0.000 0.000 0.000
Pt2 Pt 0.000 0.500 0.630
Pt3 Pt 0.500 0.000 0.370
```

Summary:
- N(E_F) (states/eV per cell) = 5.69
- calculated formation energy (kJ/mol of atoms) = -83.9
- total DFT energy (no corrections) (eV per atom) = -6.0608
- SG = No. 115
- volume (Å³ per cell) = 189.53

***

Nd2NiGe3Pt4 | PBE-GGA | optimized geometry

The structure in CIF format:
```
data_Nd2NiGe3Pt4
_space_group_name_H-M_alt 'P 1'
_space_group_IT_number 1
_cell_length_a 4.308
_cell_length_b 4.308
_cell_length_c 10.227
_cell_angle_alpha 90.00
_cell_angle_beta 90.00
_cell_angle_gamma 90.00
loop_
_space_group_symop_operation_xyz
'x,y,z'
loop_
_atom_site_label
_atom_site_type_symbol
_atom_site_fract_x
_atom_site_fract_y
_atom_site_fract_z
Nd1 Nd 0.000 0.500 0.237
Nd2 Nd 0.500 0.000 0.763
Ni1 Ni 0.500 0.500 0.000
Ge1 Ge 0.000 0.000 0.000
Ge2 Ge 0.000 0.500 0.633
Ge3 Ge 0.500 0.000 0.367
Pt1 Pt 0.000 0.000 0.500
Pt2 Pt 0.000 0.500 0.871
Pt3 Pt 0.500 0.000 0.129
Pt4 Pt 0.500 0.500 0.500
```

Summary:
- N(E_F) (states/eV per cell) = 8.31
- calculated formation energy (kJ/mol of atoms) = -81.9
- total DFT energy (no corrections) (eV per atom) = -6.1822
- SG = No. 115
- volume (Å³ per cell) = 189.80

***

Nd2NiGePt6 | PBE-GGA | optimized geometry

The structure in CIF format:
```
data_Nd2NiGePt6
_space_group_name_H-M_alt 'P 1'
_space_group_IT_number 1
_cell_length_a 6.562
_cell_length_b 6.562
_cell_length_c 8.428
_cell_angle_alpha 128.72
_cell_angle_beta 128.72
_cell_angle_gamma 49.13
loop_
_space_group_symop_operation_xyz
'x,y,z'
loop_
_atom_site_label
_atom_site_type_symbol
_atom_site_fract_x
_atom_site_fract_y
_atom_site_fract_z
Nd1 Nd 0.236 0.236 0.203
Nd2 Nd 0.764 0.764 0.797
Ni1 Ni 0.500 0.500 0.000
Ge1 Ge 0.000 0.000 0.500
Pt1 Pt 0.245 0.737 0.245
Pt2 Pt 0.252 0.252 0.604
Pt3 Pt 0.263 0.755 0.755
Pt4 Pt 0.737 0.245 0.245
Pt5 Pt 0.748 0.748 0.396
Pt6 Pt 0.755 0.263 0.755
```

Summary:
- N(E_F) (states/eV per cell) = 4.72
- calculated formation energy (kJ/mol of atoms) = -69.4
- total DFT energy (no corrections) (eV per atom) = -6.3373
- SG = No. 12
- volume (Å³ per cell) = 199.21

***

Nd2Ni3Ge4Pt | PBE-GGA | optimized geometry

The structure in CIF format:
```
data_Nd2Ni3Ge4Pt
_space_group_name_H-M_alt 'P 1'
_space_group_IT_number 1
_cell_length_a 4.202
_cell_length_b 4.202
_cell_length_c 9.852
_cell_angle_alpha 90.00
_cell_angle_beta 90.00
_cell_angle_gamma 90.00
loop_
_space_group_symop_operation_xyz
'x,y,z'
loop_
_atom_site_label
_atom_site_type_symbol
_atom_site_fract_x
_atom_site_fract_y
_atom_site_fract_z
Nd1 Nd 0.000 0.500 0.245
Nd2 Nd 0.500 0.000 0.755
Ni1 Ni 0.000 0.500 0.881
Ni2 Ni 0.500 0.000 0.119
Ni3 Ni 0.500 0.500 0.500
Ge1 Ge 0.000 0.000 0.000
Ge2 Ge 0.000 0.500 0.639
Ge3 Ge 0.500 0.000 0.361
Ge4 Ge 0.500 0.500 0.000
Pt1 Pt 0.000 0.000 0.500
```

Summary:
- N(E_F) (states/eV per cell) = 6.95
- calculated formation energy (kJ/mol of atoms) = -72.9
- total DFT energy (no corrections) (eV per atom) = -5.8945
- SG = No. 115
- volume (Å³ per cell) = 173.98

***

NdNi2GePt2 | PBE-GGA | optimized geometry

The structure in CIF format:
```
data_NdNi2GePt2
_space_group_name_H-M_alt 'P 1'
_space_group_IT_number 1
_cell_length_a 4.396
_cell_length_b 4.396
_cell_length_c 5.638
_cell_angle_alpha 90.00
_cell_angle_beta 90.00
_cell_angle_gamma 90.00
loop_
_space_group_symop_operation_xyz
'x,y,z'
loop_
_atom_site_label
_atom_site_type_symbol
_atom_site_fract_x
_atom_site_fract_y
_atom_site_fract_z
Nd1 Nd 0.000 0.000 0.000
Ni1 Ni 0.000 0.500 0.500
Ni2 Ni 0.500 0.000 0.500
Ge1 Ge 0.000 0.000 0.500
Pt1 Pt 0.500 0.500 0.237
Pt2 Pt 0.500 0.500 0.763
```

Summary:
- N(E_F) (states/eV per cell) = 8.18
- calculated formation energy (kJ/mol of atoms) = -22.3
- total DFT energy (no corrections) (eV per atom) = -5.7357
- SG = No. 123
- volume (Å³ per cell) = 108.95

***

NdPuNiGe | PBE-GGA | optimized geometry

The structure in CIF format:
```
data_NdPuNiGe
_space_group_name_H-M_alt 'P 1'
_space_group_IT_number 1
_cell_length_a 5.024
_cell_length_b 5.024
_cell_length_c 5.024
_cell_angle_alpha 60.00
_cell_angle_beta 60.00
_cell_angle_gamma 60.00
loop_
_space_group_symop_operation_xyz
'x,y,z'
loop_
_atom_site_label
_atom_site_type_symbol
_atom_site_fract_x
_atom_site_fract_y
_atom_site_fract_z
Nd1 Nd 0.000 0.000 0.000
Pu1 Pu 0.500 0.500 0.500
Ni1 Ni 0.250 0.250 0.250
Ge1 Ge 0.750 0.750 0.750
```

Summary:
- N(E_F) (states/eV per cell) = 10.50
- calculated formation energy (kJ/mol of atoms) = -25.5
- total DFT energy (no corrections) (eV per atom) = -7.6392
- SG = No. 216
- volume (Å³ per cell) = 89.68

***

NdNiGe2Rh | PBE-GGA | optimized geometry

The structure in CIF format:
```
data_NdNiGe2Rh
_space_group_name_H-M_alt 'P 1'
_space_group_IT_number 1
_cell_length_a 5.951
_cell_length_b 5.951
_cell_length_c 5.951
_cell_angle_alpha 139.15
_cell_angle_beta 139.15
_cell_angle_gamma 59.15
loop_
_space_group_symop_operation_xyz
'x,y,z'
loop_
_atom_site_label
_atom_site_type_symbol
_atom_site_fract_x
_atom_site_fract_y
_atom_site_fract_z
Nd1 Nd 0.000 0.000 0.000
Ni1 Ni 0.750 0.250 0.500
Ge1 Ge 0.374 0.374 0.000
Ge2 Ge 0.626 0.626 0.000
Rh1 Rh 0.250 0.750 0.500
```

Summary:
- N(E_F) (states/eV per cell) = 4.84
- calculated formation energy (kJ/mol of atoms) = -72.1
- total DFT energy (no corrections) (eV per atom) = -6.1744
- SG = No. 119
- volume (Å³ per cell) = 89.31

***

Nd2Ni4Ge3Rh | PBE-GGA | optimized geometry

The structure in CIF format:
```
data_Nd2Ni4Ge3Rh
_space_group_name_H-M_alt 'P 1'
_space_group_IT_number 1
_cell_length_a 4.089
_cell_length_b 4.089
_cell_length_c 10.058
_cell_angle_alpha 90.00
_cell_angle_beta 90.00
_cell_angle_gamma 90.00
loop_
_space_group_symop_operation_xyz
'x,y,z'
loop_
_atom_site_label
_atom_site_type_symbol
_atom_site_fract_x
_atom_site_fract_y
_atom_site_fract_z
Nd1 Nd 0.000 0.500 0.249
Nd2 Nd 0.500 0.000 0.751
Ni1 Ni 0.000 0.000 0.500
Ni2 Ni 0.000 0.500 0.860
Ni3 Ni 0.500 0.000 0.140
Ni4 Ni 0.500 0.500 0.500
Ge1 Ge 0.000 0.000 0.000
Ge2 Ge 0.000 0.500 0.624
Ge3 Ge 0.500 0.000 0.376
Rh1 Rh 0.500 0.500 0.000
```

Summary:
- N(E_F) (states/eV per cell) = 9.55
- calculated formation energy (kJ/mol of atoms) = -58.1
- total DFT energy (no corrections) (eV per atom) = -5.9886
- SG = No. 115
- volume (Å³ per cell) = 168.16

***

Nd2NiGe3Rh4 | PBE-GGA | optimized geometry

The structure in CIF format:
```
data_Nd2NiGe3Rh4
_space_group_name_H-M_alt 'P 1'
_space_group_IT_number 1
_cell_length_a 4.210
_cell_length_b 4.210
_cell_length_c 10.235
_cell_angle_alpha 90.00
_cell_angle_beta 90.00
_cell_angle_gamma 90.00
loop_
_space_group_symop_operation_xyz
'x,y,z'
loop_
_atom_site_label
_atom_site_type_symbol
_atom_site_fract_x
_atom_site_fract_y
_atom_site_fract_z
Nd1 Nd 0.000 0.500 0.244
Nd2 Nd 0.500 0.000 0.756
Ni1 Ni 0.500 0.500 0.000
Ge1 Ge 0.000 0.000 0.000
Ge2 Ge 0.000 0.500 0.630
Ge3 Ge 0.500 0.000 0.370
Rh1 Rh 0.000 0.000 0.500
Rh2 Rh 0.000 0.500 0.870
Rh3 Rh 0.500 0.000 0.130
Rh4 Rh 0.500 0.500 0.500
```

Summary:
- N(E_F) (states/eV per cell) = 7.63
- calculated formation energy (kJ/mol of atoms) = -74.7
- total DFT energy (no corrections) (eV per atom) = -6.6312
- SG = No. 115
- volume (Å³ per cell) = 181.44

***

Nd2Ni4Ge3Ru | PBE-GGA | optimized geometry

The structure in CIF format:
```
data_Nd2Ni4Ge3Ru
_space_group_name_H-M_alt 'P 1'
_space_group_IT_number 1
_cell_length_a 4.096
_cell_length_b 4.096
_cell_length_c 10.011
_cell_angle_alpha 90.00
_cell_angle_beta 90.00
_cell_angle_gamma 90.00
loop_
_space_group_symop_operation_xyz
'x,y,z'
loop_
_atom_site_label
_atom_site_type_symbol
_atom_site_fract_x
_atom_site_fract_y
_atom_site_fract_z
Nd1 Nd 0.000 0.500 0.248
Nd2 Nd 0.500 0.000 0.752
Ni1 Ni 0.000 0.000 0.000
Ni2 Ni 0.000 0.500 0.634
Ni3 Ni 0.500 0.000 0.366
Ni4 Ni 0.500 0.500 0.000
Ge1 Ge 0.000 0.500 0.875
Ge2 Ge 0.500 0.000 0.125
Ge3 Ge 0.500 0.500 0.500
Ru1 Ru 0.000 0.000 0.500
```

Summary:
- N(E_F) (states/eV per cell) = 7.94
- calculated formation energy (kJ/mol of atoms) = -51.2
- total DFT energy (no corrections) (eV per atom) = -6.1099
- SG = No. 115
- volume (Å³ per cell) = 167.98